First-principles (GGA-PBE) data for crystalline Tl2CrBr at its relaxed geometry, as listed in Alexandria.

For the distance to the lowest polymorph of the same formula, the calculation gives 20.4 kJ per mole of atoms. Its formation energy without anion corrections is 280.5 meV per atom.

Cell: 3.553 5.503 5.513 Å, 90.00 90.00 90.00°
Space group Pmmm (No. 47)
Unique sites:
Tl  0.000  0.000  0.000 (multiplicity 1)
Tl  0.500  0.000  0.500 (multiplicity 1)
Cr  0.000  0.500  0.500 (multiplicity 1)
Br  0.500  0.500  0.000 (multiplicity 1)